No. 1
A plane-wave DFT calculation with GGA-PBE was carried out for a relaxed structure of TlNCl2.

Properties
Mass density   3.09 g/cm3
Electronic total energy   -3.011 eV per atom
Uncorrected formation energy   56 kJ/mol of atoms

Cell lengths 7.819, 7.819, 7.819 Å; angles 37.02, 37.02, 37.02 degrees
Last column: magnetic moment on the atom in μB.
Atoms (fractional coordinates):
Tl (0.500, 0.500, 0.500)  0.01
N (0.000, 0.000, 0.000)  1.23
Cl (0.904, 0.904, 0.904)  0.07
Cl (0.096, 0.096, 0.096)  0.07

No. 2
A plane-wave DFT calculation with GGA-PBE was carried out for a relaxed structure of UF4.

Properties
Mass density   6.57 g/cm3
Electronic total energy   -7.298 eV per atom
Uncorrected formation energy   -342 kJ/mol of atoms

Cell lengths 5.461, 5.463, 5.978 Å; angles 117.19, 90.00, 90.00 degrees
Last column: magnetic moment on the atom in μB.
Atoms (fractional coordinates):
U (0.000, 0.000, 0.000)  2.01
U (0.500, 0.500, 0.000)  2.01
F (0.193, 0.583, 0.780)  -0.01
F (0.193, 0.417, 0.220)  -0.01
F (0.307, 0.083, 0.780)  -0.01
F (0.807, 0.197, 0.780)  -0.01
F (0.693, 0.303, 0.220)  -0.01
F (0.807, 0.803, 0.220)  -0.01
F (0.693, 0.697, 0.780)  -0.01
F (0.307, 0.917, 0.220)  -0.01

No. 3
A plane-wave DFT calculation with GGA-PBE was carried out for a relaxed structure of PrCd6Ag4.

Properties
Mass density   7.73 g/cm3
Electronic total energy   -2.015 eV per atom
ΔE_f   -0.045 eV per atom

Cell lengths 7.270, 7.270, 7.270 Å; angles 88.38, 120.94, 120.94 degrees
Atoms (fractional coordinates):
Pr (0.000, 0.000, 0.000)
Cd (0.000, 0.893, 0.521)
Cd (0.000, 0.521, 0.893)
Cd (0.629, 0.107, 0.107)
Cd (0.500, 0.000, 0.500)
Cd (0.371, 0.479, 0.479)
Cd (0.500, 0.500, 0.000)
Ag (0.000, 0.256, 0.595)
Ag (0.662, 0.405, 0.405)
Ag (0.000, 0.595, 0.256)
Ag (0.338, 0.744, 0.744)

No. 4
A plane-wave DFT calculation with GGA-PBE was carried out for a relaxed structure of Zr2CoBr.

Properties
Mass density   5.15 g/cm3
Electronic total energy   -6.260 eV per atom
Uncorrected formation energy   20 kJ/mol of atoms

Cell lengths 5.941, 5.941, 7.217 Å; angles 65.69, 65.69, 90.00 degrees
Atoms (fractional coordinates):
Co (0.500, 0.500, 0.000)
Co (0.250, 0.750, 0.500)
Br (0.000, 0.000, 0.000)
Br (0.750, 0.250, 0.500)
Zr (0.566, 0.125, 0.250)
Zr (0.184, 0.625, 0.250)
Zr (0.375, 0.434, 0.750)
Zr (0.875, 0.816, 0.750)

| no. | E above lowest polymorph (eV/atom) |
| --- | --- |
| 1 | 0.008 |
| 2 | 0.070 |
| 3 | 0.065 |
| 4 | 0.672 |